[1]
K3Sn2Se4: relaxed, PBE-GGA.

```
K3Sn2Se4
1.0
7.0120 -5.5339 0.0000
7.0120 5.5339 0.0000
-0.1520 0.0000 8.5627
K Sn Se
6 4 8
direct
0.1031 0.8969 0.7500 K
0.2501 0.5097 0.5201 K
0.4903 0.7499 0.9799 K
0.5097 0.2501 0.0201 K
0.7499 0.4903 0.4799 K
0.8969 0.1031 0.2500 K
0.0543 0.3161 0.8879 Sn
0.3161 0.0543 0.3879 Sn
0.6839 0.9457 0.6121 Sn
0.9457 0.6839 0.1121 Sn
0.0855 0.2215 0.5661 Se
0.2110 0.5395 0.9191 Se
0.2215 0.0855 0.0661 Se
0.4605 0.7890 0.5809 Se
0.5395 0.2110 0.4191 Se
0.7785 0.9145 0.9339 Se
0.7890 0.4605 0.0809 Se
0.9145 0.7785 0.4339 Se
```

Results
The calculation puts the density of states at the Fermi level at 5.2 states/eV/cell. The energy relative to the elements, uncorrected is -79 kJ per mole of atoms. The value obtained for the distance to the lowest polymorph of the same formula is 0.0 kJ/mol of formula units. The crystal system is monoclinic.

***

[2]
CsTc2P2: relaxed, PBE-GGA.

```
CsTc2P2
1.0
8.2978 0.0000 0.0000
0.0000 8.2978 0.0000
0.0000 0.0000 3.0104
Cs Tc P
2 4 4
direct
0.0000 0.0000 0.0000 Cs
0.5000 0.5000 0.0000 Cs
0.1150 0.3850 0.5000 Tc
0.3850 0.8850 0.5000 Tc
0.6150 0.1150 0.5000 Tc
0.8850 0.6150 0.5000 Tc
0.1168 0.6168 0.0000 P
0.3832 0.1168 0.0000 P
0.6168 0.8832 0.0000 P
0.8832 0.3832 0.0000 P
```

Results
The calculation puts the density of states at the Fermi level at 8.1 states/eV/cell. The value obtained for the distance to the lowest polymorph of the same formula is 378.2 kJ/mol of formula units. The calculated formation energy is 8.56 kcal/mol of atoms. The crystal system is tetragonal.

***

[3]
RbPmSnTe3: relaxed, PBE-GGA.

```
RbPmSnTe3
1.0
9.6064 0.0000 0.0000
0.0000 4.5040 0.0000
-3.9208 0.0000 11.4643
Rb Pm Sn Te
2 2 2 6
direct
0.2270 0.2500 0.2715 Rb
0.7730 0.7500 0.7285 Rb
0.3635 0.7500 0.8439 Pm
0.6365 0.2500 0.1561 Pm
0.1290 0.2500 0.5573 Sn
0.8710 0.7500 0.4427 Sn
0.1126 0.2500 0.7902 Te
0.3430 0.7500 0.5736 Te
0.3962 0.7500 0.1097 Te
0.6038 0.2500 0.8903 Te
0.6570 0.2500 0.4264 Te
0.8874 0.7500 0.2098 Te
```

Results
The energy relative to the elements, uncorrected is -98 kJ per mole of atoms. The crystal system is monoclinic.

***

[4]
Sr3CaNi2: relaxed, PBE-GGA.

```
Sr3CaNi2
1.0
9.2046 -2.0747 0.0000
9.2046 2.0747 0.0000
-7.0307 0.0000 10.7782
Sr Ca Ni
6 2 4
direct
0.0889 0.0889 0.4379 Sr
0.0899 0.0899 0.9496 Sr
0.3357 0.3357 0.2454 Sr
0.6643 0.6643 0.7546 Sr
0.9101 0.9101 0.0504 Sr
0.9111 0.9111 0.5621 Sr
0.3313 0.3313 0.7317 Ca
0.6687 0.6687 0.2683 Ca
0.2614 0.2614 0.4644 Ni
0.2606 0.2606 0.9659 Ni
0.7394 0.7394 0.0341 Ni
0.7386 0.7386 0.5356 Ni
```

Results
The calculation puts the density of states at the Fermi level at 11.1 states/eV/cell. The calculated formation energy is -1.57 kcal/mol of atoms. The crystal system is monoclinic.

***

[5]
KLa4Ta: relaxed, PBE-GGA.

```
KLa4Ta
1.0
0.0000 4.7042 4.7042
4.7042 0.0000 4.7042
4.7042 4.7042 0.0000
K La Ta
1 4 1
direct
0.0000 0.0000 0.0000 K
0.1435 0.6188 0.6188 La
0.6188 0.1435 0.6188 La
0.6188 0.6188 0.1435 La
0.6188 0.6188 0.6188 La
0.2500 0.2500 0.2500 Ta
```

Results
The calculation puts the density of states at the Fermi level at 9.8 states/eV/cell. The calculated formation energy is 21.21 kcal/mol of atoms. The crystal system is cubic.

***

[6]
NpTi2Co9: relaxed, PBE-GGA.

```
NpTi2Co9
1.0
2.3842 1.3765 7.8129
-2.3842 1.3765 7.8129
0.0000 -2.7530 7.8129
Np Ti Co
1 2 9
direct
0.0000 0.0000 0.0000 Np
0.1424 0.1424 0.1424 Ti
0.8576 0.8576 0.8576 Ti
0.0794 0.5901 0.5901 Co
0.3356 0.3356 0.3356 Co
0.4099 0.4099 0.9206 Co
0.4099 0.9206 0.4099 Co
0.5000 0.5000 0.5000 Co
0.5901 0.0794 0.5901 Co
0.5901 0.5901 0.0794 Co
0.6644 0.6644 0.6644 Co
0.9206 0.4099 0.4099 Co
```

Results
The calculation puts the density of states at the Fermi level at 19.3 states/eV/cell. The calculated formation energy is -3.87 kcal/mol of atoms. The crystal system is trigonal.

***

[7]
Na2USbSe4: relaxed, PBE-GGA.

```
Na2USbSe4
1.0
7.3305 0.0000 0.0000
0.0000 4.2440 0.0000
-2.4388 0.0000 6.9401
Na U Sb Se
2 1 1 4
direct
0.0000 0.0000 0.0000 Na
0.5000 0.5000 0.0000 Na
0.0000 0.5000 0.5000 U
0.5000 0.0000 0.5000 Sb
0.2432 0.0000 0.7314 Se
0.2565 0.5000 0.2702 Se
0.7435 0.5000 0.7298 Se
0.7568 0.0000 0.2686 Se
```

Results
The calculation puts the density of states at the Fermi level at 4.1 states/eV/cell. The energy relative to the elements, uncorrected is -86 kJ per mole of atoms. The crystal system is monoclinic.

***

[8]
ZnAsPt5: relaxed, PBE-GGA.

```
ZnAsPt5
1.0
3.9614 0.0000 0.0000
0.0000 3.9614 0.0000
0.0000 0.0000 7.1778
Zn As Pt
1 1 5
direct
0.0000 0.0000 0.0000 Zn
0.5000 0.5000 0.5000 As
0.0000 0.5000 0.2764 Pt
0.0000 0.5000 0.7236 Pt
0.5000 0.0000 0.2764 Pt
0.5000 0.0000 0.7236 Pt
0.5000 0.5000 0.0000 Pt
```

Results
The calculation puts the density of states at the Fermi level at 4.7 states/eV/cell. The calculated formation energy is -7.37 kcal/mol of atoms. The crystal system is tetragonal.

***

| no. | volume (Å³ per atom) | magnetization (μB/cell) |
| --- | --- | --- |
| 1 | 36.92 | 0.00 |
| 2 | 20.73 | 0.00 |
| 3 | 41.34 | 0.00 |
| 4 | 34.30 | 0.00 |
| 5 | 34.70 | 2.05 |
| 6 | 12.82 | 5.24 |
| 7 | 26.99 | 2.80 |
| 8 | 16.09 | 0.00 |